SrInP2Cl | PBE-GGA | relaxed

Output
As for the energy above the most stable polymorph in this dataset: 0 meV per atom. The energy relative to the elements, uncorrected is -300 meV/atom. As for the density of states at the Fermi level: 2.571 states/eV/f.u.

Lattice parameters (Å, degrees): 5.0041 5.0041 5.5288 90.00 90.00 90.00
With the nearest neighbours (Å) after each atom.
Element x y z (fractional)
Sr1 0.0000 0.0000 0.0000  4 Cl 3.54, 8 P 3.73
In1 0.5000 0.5000 0.5000  4 P 2.50, 2 Cl 2.76
P1 0.0000 0.5000 0.5000  2 In 2.50
P2 0.5000 0.0000 0.5000  2 In 2.50
Cl1 0.5000 0.5000 0.0000  2 In 2.76

---

CdBOsRu2 | PBE-GGA | relaxed

Output
The total energy is -4.06 eV per atom. As for the density of states at the Fermi level: 5.887 states/eV/f.u.

Lattice parameters (Å, degrees): 4.8777 4.8777 4.9127 90.00 90.00 90.00
With the nearest neighbours (Å) after each atom.
Element x y z (fractional)
Cd1 0.0000 0.0000 0.0000  4 Ru 2.44, 2 Os 2.46
B1 0.5000 0.5000 0.5000  4 Os 3.45, 8 Ru 3.46
Os1 0.0000 0.0000 0.5000  2 Cd 2.46
Ru1 0.0000 0.5000 0.0000  2 Cd 2.44
Ru2 0.5000 0.0000 0.0000  2 Cd 2.44

---

LiTaNi2 | PBE-GGA | relaxed

Output
The total energy is -6.40 eV per atom. As for the density of states at the Fermi level: 3.240 states/eV/f.u.

Lattice parameters (Å, degrees): 2.7455 4.3488 4.4552 90.00 90.00 90.00
With the nearest neighbours (Å) after each atom.
Element x y z (fractional)
Li1 0.0000 0.0000 0.0000  8 Ni 2.52-2.72, 2 Li 2.75
Ta1 0.0000 0.5000 0.4221  8 Ni 2.61-2.62, 2 Ta 2.75, 2 Li 2.87
Ni1 0.5000 0.0000 0.5269  4 Li 2.52-2.72, 4 Ta 2.61, 4 Ni 2.75-2.79
Ni2 0.5000 0.5000 0.9203  4 Li 2.60, 4 Ta 2.61-2.62, 4 Ni 2.75-2.79

---

La3HgN | PBE-GGA | relaxed

Output
The energy relative to the elements, uncorrected is -444 meV/atom. As for the density of states at the Fermi level: 7.087 states/eV/f.u.

Lattice parameters (Å, degrees): 9.5468 9.5468 9.5468 60.00 60.00 60.00
With the nearest neighbours (Å) after each atom.
Element x y z (fractional)
La1 0.0677 0.0677 0.6823  2 N 2.56
La2 0.0677 0.6823 0.0677  2 N 2.56
La3 0.0677 0.6823 0.6823  2 N 2.56
La4 0.3177 0.3177 0.9323  2 N 2.56
La5 0.3177 0.9323 0.3177  2 N 2.56
La6 0.3177 0.9323 0.9323  2 N 2.56
La7 0.6823 0.0677 0.0677  2 N 2.56
La8 0.6823 0.0677 0.6823  2 N 2.56
La9 0.6823 0.6823 0.0677  2 N 2.56
La10 0.9323 0.3177 0.3177  2 N 2.56
La11 0.9323 0.3177 0.9323  2 N 2.56
La12 0.9323 0.9323 0.3177  2 N 2.56
Hg1 0.0000 0.5000 0.5000  6 La 3.43
Hg2 0.5000 0.0000 0.5000  6 La 3.43
Hg3 0.5000 0.5000 0.0000  6 La 3.43
Hg4 0.5000 0.5000 0.5000  6 La 3.43
N1 0.0000 0.0000 0.0000  6 La 2.56
N2 0.0000 0.0000 0.5000  6 La 2.56
N3 0.0000 0.5000 0.0000  6 La 2.56
N4 0.5000 0.0000 0.0000  6 La 2.56

---

V3CrB | PBE-GGA | relaxed

Output
As for the energy above the most stable polymorph in this dataset: 0 meV per atom. As for the density of states at the Fermi level: 6.782 states/eV/f.u.

Lattice parameters (Å, degrees): 4.0300 4.0300 4.0300 90.00 90.00 90.00
With the nearest neighbours (Å) after each atom.
Element x y z (fractional)
V1 0.0000 0.0000 0.5000  2 B 2.02
V2 0.0000 0.5000 0.0000  2 B 2.02
V3 0.5000 0.0000 0.0000  2 B 2.02
Cr1 0.5000 0.5000 0.5000  12 V 2.85
B1 0.0000 0.0000 0.0000  6 V 2.02

---

SnTeCl3 | PBE-GGA | relaxed

Output
As for the energy above the most stable polymorph in this dataset: 0 meV per atom. The energy relative to the elements, uncorrected is -714 meV/atom. As for the density of states at the Fermi level: 0.000 states/eV/f.u.

Lattice parameters (Å, degrees): 7.3057 7.7454 8.3512 95.34 97.61 93.72
With the nearest neighbours (Å) after each atom.
Element x y z (fractional)
Sn1 0.0000 0.0000 0.0000  3 Cl 2.34-2.36
Sn2 0.4006 0.4569 0.4583  3 Cl 2.34-2.36
Te1 0.1387 0.4966 0.1931  1 Te 2.72, 1 Sn 2.78
Te2 0.8921 0.2319 0.2371  1 Te 2.72, 1 Sn 2.78
Cl1 0.0009 0.1113 0.7492  1 Sn 2.34
Cl2 0.3015 0.9090 0.0626  1 Sn 2.36
Cl3 0.3139 0.5587 0.7080  1 Sn 2.34
Cl4 0.4787 0.1707 0.4867  1 Sn 2.35
Cl5 0.6820 0.6154 0.4375  1 Sn 2.36
Cl6 0.8023 0.7425 0.9531  1 Sn 2.36

---

PmHIr | PBE-GGA | relaxed

Output
As for the energy above the most stable polymorph in this dataset: 0 meV per atom. As for the density of states at the Fermi level: 1.249 states/eV/f.u.

Lattice parameters (Å, degrees): 3.9654 3.9654 3.6508 90.00 90.00 120.00
With the nearest neighbours (Å) after each atom.
Element x y z (fractional)
Pm1 0.0000 0.0000 0.0000  6 H 2.93, 6 Ir 2.93
H1 0.3333 0.6667 0.5000  3 Ir 2.29
Ir1 0.6667 0.3333 0.5000  3 H 2.29

---

Pr2Nd5Th2 | PBE-GGA | relaxed

Output
The total energy is -5.30 eV per atom. As for the density of states at the Fermi level: 14.693 states/eV/f.u.

Lattice parameters (Å, degrees): 6.3440 6.3576 8.1834 82.97 75.04 80.16
With the nearest neighbours (Å) after each atom.
Element x y z (fractional)
Pr1 0.2217 0.4455 0.1106  2 Pr 3.65-3.67, 7 Nd 3.65-3.72, 3 Th 3.67-3.69
Pr2 0.7783 0.5545 0.8894  2 Pr 3.65-3.67, 7 Nd 3.65-3.72, 3 Th 3.67-3.69
Nd1 0.0000 0.0000 0.0000  4 Pr 3.66-3.67, 6 Nd 3.66-3.74, 2 Th 3.70
Nd2 0.1155 0.2238 0.5528  6 Nd 3.57-3.71, 4 Th 3.61-3.71, 2 Pr 3.65-3.66
Nd3 0.4496 0.8860 0.2314  6 Nd 3.57-3.82, 3 Th 3.58-3.66, 3 Pr 3.68-3.72
Nd4 0.5504 0.1140 0.7686  6 Nd 3.57-3.82, 3 Th 3.58-3.66, 3 Pr 3.68-3.72
Nd5 0.8845 0.7762 0.4472  6 Nd 3.57-3.71, 4 Th 3.61-3.71, 2 Pr 3.65-3.66
Th1 0.3380 0.6608 0.6622  1 Th 3.54, 8 Nd 3.58-3.71, 3 Pr 3.67-3.69
Th2 0.6620 0.3392 0.3378  1 Th 3.54, 8 Nd 3.58-3.71, 3 Pr 3.67-3.69

---

ErSc2Cu2Si2 | PBE-GGA | relaxed

Output
The energy relative to the elements, uncorrected is -517 meV/atom. As for the density of states at the Fermi level: 4.455 states/eV/f.u.

Lattice parameters (Å, degrees): 8.8176 8.8176 8.8176 27.21 27.21 27.21
With the nearest neighbours (Å) after each atom.
Element x y z (fractional)
Er1 0.0000 0.0000 0.0000  6 Cu 3.05, 6 Si 3.09, 2 Sc 3.32
Sc1 0.1306 0.1306 0.1306  3 Si 2.76, 3 Cu 2.79, 3 Sc 3.02
Sc2 0.8694 0.8694 0.8694  3 Si 2.76, 3 Cu 2.79, 3 Sc 3.02
Cu1 0.4074 0.4074 0.4074  3 Si 2.40
Cu2 0.5926 0.5926 0.5926  3 Si 2.40
Si1 0.2564 0.2564 0.2564  3 Cu 2.40
Si2 0.7436 0.7436 0.7436  3 Cu 2.40

---

Rb3TaGa | PBE-GGA | relaxed

Output
As for the energy above the most stable polymorph in this dataset: 0 meV per atom. As for the density of states at the Fermi level: 9.168 states/eV/f.u.

Lattice parameters (Å, degrees): 6.6315 6.6315 6.6315 90.00 90.00 90.00
With the nearest neighbours (Å) after each atom.
Element x y z (fractional)
Rb1 0.0000 0.0000 0.5000  2 Ga 3.32
Rb2 0.0000 0.5000 0.0000  2 Ga 3.32
Rb3 0.5000 0.0000 0.0000  2 Ga 3.32
Ta1 0.5000 0.5000 0.5000  12 Rb 4.69
Ga1 0.0000 0.0000 0.0000  6 Rb 3.32

---

Rb2NpI4Cl2 | PBE-GGA | relaxed

Output
The energy relative to the elements, uncorrected is -1355 meV/atom. As for the density of states at the Fermi level: 3.695 states/eV/f.u.

Lattice parameters (Å, degrees): 7.9917 7.9917 6.9132 99.71 99.71 64.34
With the nearest neighbours (Å) after each atom.
Element x y z (fractional)
Rb1 0.1670 0.1670 0.2774  1 Cl 3.46
Rb2 0.8330 0.8330 0.7226  1 Cl 3.46
Np1 0.5000 0.5000 0.0000  2 Cl 2.59
I1 0.1481 0.6567 0.2031  1 Np 3.02
I2 0.3433 0.8519 0.7969  1 Np 3.02
I3 0.6567 0.1481 0.2031  1 Np 3.02
I4 0.8519 0.3433 0.7969  1 Np 3.02
Cl1 0.3458 0.3458 0.7107  1 Np 2.59
Cl2 0.6542 0.6542 0.2893  1 Np 2.59